(1)
The following is a DFT calculation (PBE) of ZnSn after structural relaxation. Values from VASP.

Quantum ESPRESSO input file:
```
&SYSTEM
  ibrav = 0, nat = 10, ntyp = 2
/
ATOMIC_SPECIES
Sn 118.71 Sn.upf
Zn 65.41 Zn.upf
CELL_PARAMETERS angstrom
2.554 4.420 0.000
-6.182 6.516 0.000
0.000 0.000 4.995
ATOMIC_POSITIONS angstrom
Sn -1.097 4.413 2.498
Sn -3.555 8.172 0.000
Sn -0.097 6.172 0.000
Zn -0.901 1.463 2.498
Sn -4.575 6.425 2.498
Zn 0.010 2.975 0.000
Sn -3.184 4.816 0.000
Zn 1.504 3.024 2.498
Zn -1.572 7.609 2.498
Zn 2.360 4.571 0.000
```

Summary:
As for the space-group type: Pm (6). As for the uncorrected energy: -2.5078 eV per atom.



(2)
The following is a DFT calculation (PBE) of ZnSn after structural relaxation. Values from VASP.

Quantum ESPRESSO input file:
```
&SYSTEM
  ibrav = 0, nat = 8, ntyp = 2
/
ATOMIC_SPECIES
Sn 118.71 Sn.upf
Zn 65.41 Zn.upf
CELL_PARAMETERS angstrom
-9.649 -0.692 4.014
1.224 -1.242 2.729
0.472 4.753 1.952
ATOMIC_POSITIONS angstrom
Sn -2.868 1.489 3.886
Zn -6.923 -1.161 4.499
Zn -8.217 1.106 6.112
Zn -9.430 -0.676 3.923
Sn -6.599 1.887 3.820
Sn -1.398 -0.765 2.201
Sn -5.130 -0.368 2.134
Zn -1.074 2.283 1.521
```

Summary:
As for the space-group type: Pmmn (59). As for the uncorrected energy: -2.5174 eV per atom.



(3)
The following is a DFT calculation (PBE) of ZnSn after structural relaxation. Values from VASP.

Quantum ESPRESSO input file:
```
&SYSTEM
  ibrav = 0, nat = 8, ntyp = 2
/
ATOMIC_SPECIES
Sn 118.71 Sn.upf
Zn 65.41 Zn.upf
CELL_PARAMETERS angstrom
4.840 0.000 0.000
0.000 7.192 0.000
0.000 0.000 4.948
ATOMIC_POSITIONS angstrom
Sn 1.795 3.276 2.474
Zn 1.650 0.276 2.474
Zn 4.802 0.276 0.000
Zn 4.070 1.522 2.474
Zn 2.383 1.522 0.000
Sn 4.658 3.276 0.000
Sn 4.214 5.714 2.474
Sn 2.238 5.714 0.000
```

Summary:
As for the space-group type: Pbcm (57). As for the uncorrected energy: -2.5374 eV per atom.



(4)
The following is a DFT calculation (PBE) of ZnSn after structural relaxation. Values from VASP.

Quantum ESPRESSO input file:
```
&SYSTEM
  ibrav = 0, nat = 10, ntyp = 2
/
ATOMIC_SPECIES
Sn 118.71 Sn.upf
Zn 65.41 Zn.upf
CELL_PARAMETERS angstrom
2.595 4.497 0.000
-6.039 6.486 0.000
0.000 0.000 4.951
ATOMIC_POSITIONS angstrom
Sn -0.300 6.531 0.000
Zn -4.264 6.170 2.476
Sn -3.311 7.828 0.000
Sn -0.685 1.306 2.476
Zn -5.803 6.329 0.000
Sn 0.099 3.301 0.000
Zn -4.091 9.288 2.476
Sn -1.626 4.854 2.476
Zn -3.354 4.917 0.000
Zn -1.656 7.881 2.476
```

Summary:
As for the space-group type: Pm (6). As for the uncorrected energy: -2.5137 eV per atom.



(5)
The following is a DFT calculation (PBE) of ZnSn after structural relaxation. Values from VASP.

Quantum ESPRESSO input file:
```
&SYSTEM
  ibrav = 0, nat = 2, ntyp = 2
/
ATOMIC_SPECIES
Zn 65.41 Zn.upf
Sn 118.71 Sn.upf
CELL_PARAMETERS angstrom
0.000 3.070 3.070
3.070 0.000 3.070
3.070 3.070 0.000
ATOMIC_POSITIONS angstrom
Zn 1.535 1.535 1.535
Sn 0.000 0.000 0.000
```

Summary:
As for the space-group type: F-43m (216). As for the uncorrected energy: -2.2688 eV per atom.



(6)
The following is a DFT calculation (PBE) of ZnSn after structural relaxation. Values from VASP.

Quantum ESPRESSO input file:
```
&SYSTEM
  ibrav = 0, nat = 4, ntyp = 2
/
ATOMIC_SPECIES
Sn 118.71 Sn.upf
Zn 65.41 Zn.upf
CELL_PARAMETERS angstrom
-1.614 2.962 -3.964
-2.679 0.948 1.800
2.577 3.835 1.816
ATOMIC_POSITIONS angstrom
Sn -1.444 4.947 -1.612
Zn -1.602 2.940 -3.934
Zn 0.738 2.927 -0.443
Sn -2.099 1.868 -0.966
```

Summary:
As for the space-group type: Pmma (51). As for the uncorrected energy: -2.4879 eV per atom.



(7)
The following is a DFT calculation (PBE) of ZnSn after structural relaxation. Values from VASP.

Quantum ESPRESSO input file:
```
&SYSTEM
  ibrav = 0, nat = 16, ntyp = 2
/
ATOMIC_SPECIES
Sn 118.71 Sn.upf
Zn 65.41 Zn.upf
CELL_PARAMETERS angstrom
5.460 0.000 0.000
0.000 12.933 0.000
0.000 0.000 5.056
ATOMIC_POSITIONS angstrom
Sn 1.875 12.900 2.528
Sn 5.405 0.032 0.000
Zn 4.652 11.051 2.528
Sn 5.405 6.434 0.000
Zn 2.628 1.881 0.000
Sn 4.478 4.756 2.528
Zn 1.650 9.699 2.528
Zn 0.051 9.699 0.000
Zn 4.652 8.348 2.528
Zn 0.170 3.233 0.000
Sn 4.478 1.710 2.528
Sn 2.802 11.223 0.000
Zn 1.769 3.233 2.528
Sn 1.875 6.498 2.528
Zn 2.628 4.585 0.000
Sn 2.802 8.176 0.000
```

Summary:
As for the space-group type: Pmmn (59). As for the uncorrected energy: -2.4773 eV per atom.



(8)
The following is a DFT calculation (PBE) of ZnSn after structural relaxation. Values from VASP.

Quantum ESPRESSO input file:
```
&SYSTEM
  ibrav = 0, nat = 12, ntyp = 2
/
ATOMIC_SPECIES
Zn 65.41 Zn.upf
Sn 118.71 Sn.upf
CELL_PARAMETERS angstrom
-0.200 5.552 -1.212
-9.665 -0.744 -1.819
-0.913 0.942 4.468
ATOMIC_POSITIONS angstrom
Zn -8.290 4.343 -0.184
Sn -5.247 4.421 0.422
Sn -0.642 2.993 1.664
Sn -2.377 2.806 -1.078
Zn -3.459 -0.122 -0.681
Sn -9.013 -0.488 -1.739
Sn -2.165 5.659 0.791
Zn -5.196 1.838 -1.450
Zn -7.927 2.318 -2.109
Sn -7.152 1.490 0.650
Zn -6.340 4.534 -2.252
Zn -4.121 1.881 1.188
```

Summary:
As for the space-group type: Pmc2_1 (26). As for the uncorrected energy: -2.5231 eV per atom.



Question: Among the records above, which one has the highest uncorrected energy?
Answer: number 5



Please write out number 5 again, unchanged.
The following is a DFT calculation (PBE) of ZnSn after structural relaxation. Values from VASP.

Quantum ESPRESSO input file:
```
&SYSTEM
  ibrav = 0, nat = 2, ntyp = 2
/
ATOMIC_SPECIES
Zn 65.41 Zn.upf
Sn 118.71 Sn.upf
CELL_PARAMETERS angstrom
0.000 3.070 3.070
3.070 0.000 3.070
3.070 3.070 0.000
ATOMIC_POSITIONS angstrom
Zn 1.535 1.535 1.535
Sn 0.000 0.000 0.000
```

Summary:
As for the space-group type: F-43m (216). As for the uncorrected energy: -2.2688 eV per atom.